[1]
An optimized crystal structure of Ti12AlTl3. Source: the Alexandria database, functional GGA-PBE.

a = 5.218 Å, b = 5.220 Å, c = 10.442 Å
α = 90.00°, β = 90.00°, γ = 90.00°
Space group Pmmm (No. 47)
Asymmetric unit:
1 Ti 0.000 0.000 0.123
2 Ti 0.000 0.000 0.375
3 Ti 0.247 0.500 0.243
4 Ti 0.500 0.248 0.500
5 Ti 0.500 0.256 0.000
6 Al 0.000 0.500 0.000
7 Tl 0.000 0.500 0.500
8 Tl 0.500 0.000 0.250

Summary:
Spin magnetization ... 0.00 μB/atom
E_form ... -0.065 eV/atom

---

[2]
An optimized crystal structure of NpNb3Tl2O12. Source: the Alexandria database, functional GGA-PBE.

a = 7.4965 Å, b = 7.4965 Å, c = 19.0623 Å
α = 90.00°, β = 90.00°, γ = 120.00°
Space group R-3m (No. 166, hexagonal axes)
Asymmetric unit:
1 Np 0.0000 0.0000 0.0000
2 Nb 0.0000 0.5000 0.5000
3 Tl 0.0000 0.0000 0.4045
4 O 0.0808 0.5404 0.8522
5 O 0.0827 0.5414 0.6039

Summary:
Formation energy from raw total energies ... -2.241 eV per atom
Spin magnetization ... 0.00 μB/atom